i | Material: La2OsRu
Method: DFT, GGA-PBE
State: optimized geometry

a = 3.358 Å, b = 4.700 Å, c = 11.828 Å
α = 90.00°, β = 90.00°, γ = 90.00°
Space group Imm2 (No. 44)
Inequivalent atoms, fractional coordinates:
La1 0.000 0.000 0.000 (multiplicity 2)
La2 0.000 0.500 0.220 (multiplicity 2)
Os1 0.000 0.000 0.447 (multiplicity 2)
Ru1 0.000 0.500 0.778 (multiplicity 2)

Volume: 186.6 Å³/cell
Total magnetic moment: 0.000 μB per formula unit

---

ii | Material: La2OsRu
Method: DFT, GGA-PBE
State: optimized geometry

a = 4.462 Å, b = 4.888 Å, c = 8.976 Å
α = 90.00°, β = 90.00°, γ = 90.00°
Space group Cmm2 (No. 35)
Inequivalent atoms, fractional coordinates:
La1 0.000 0.000 0.000 (multiplicity 2)
La2 0.000 0.500 0.391 (multiplicity 2)
Os1 0.000 0.000 0.632 (multiplicity 2)
Ru1 0.000 0.500 0.756 (multiplicity 2)

Volume: 195.8 Å³/cell
Total magnetic moment: 0.000 μB per formula unit

---

iii | Material: La2OsRu
Method: DFT, GGA-PBE
State: optimized geometry

a = 4.588 Å, b = 4.534 Å, c = 5.559 Å
α = 90.00°, β = 114.29°, γ = 90.00°
Space group Pm (No. 6)
Inequivalent atoms, fractional coordinates:
La1 0.000 0.000 0.000 (multiplicity 1)
La2 0.293 0.500 0.586 (multiplicity 1)
Os1 0.694 0.000 0.388 (multiplicity 1)
Ru1 0.605 0.500 0.210 (multiplicity 1)

Volume: 105.4 Å³/cell
Total magnetic moment: 0.000 μB per formula unit

---

Which structure is the most stable? The one labeled iii.

---

i | Material: LaOsRu
Method: DFT, GGA-PBE
State: optimized geometry

a = 6.432 Å, b = 6.432 Å, c = 6.432 Å
α = 90.00°, β = 90.00°, γ = 90.00°
Space group F-43m (No. 216)
Inequivalent atoms, fractional coordinates:
La1 0.000 0.000 0.000 (multiplicity 4)
Os1 0.250 0.250 0.750 (multiplicity 4)
Ru1 0.000 0.000 0.500 (multiplicity 4)

Volume: 266.1 Å³/cell
Total magnetic moment: 0.003 μB per formula unit

---

ii | Material: LaOsRu
Method: DFT, GGA-PBE
State: optimized geometry

a = 4.538 Å, b = 7.369 Å, c = 7.392 Å
α = 90.00°, β = 90.00°, γ = 90.00°
Space group Ima2 (No. 46)
Inequivalent atoms, fractional coordinates:
La1 0.250 0.181 0.000 (multiplicity 4)
Os1 0.250 0.582 0.168 (multiplicity 4)
Ru1 0.250 0.596 0.830 (multiplicity 4)

Volume: 247.2 Å³/cell
Total magnetic moment: 0.000 μB per formula unit

---

iii | Material: LaOsRu
Method: DFT, GGA-PBE
State: optimized geometry

a = 5.734 Å, b = 7.861 Å, c = 5.161 Å
α = 90.00°, β = 90.00°, γ = 90.00°
Space group Ima2 (No. 46)
Inequivalent atoms, fractional coordinates:
La1 0.250 0.124 0.000 (multiplicity 4)
Os1 0.250 0.739 0.775 (multiplicity 4)
Ru1 0.000 0.000 0.504 (multiplicity 4)

Volume: 232.7 Å³/cell
Total magnetic moment: 0.000 μB per formula unit

---

Which structure is the most stable? The one labeled iii.

---

i | Material: LaOsRu
Method: DFT, GGA-PBE
State: optimized geometry

a = 10.274 Å, b = 4.465 Å, c = 7.403 Å
α = 90.00°, β = 132.91°, γ = 90.00°
Space group C2/m (No. 12)
Inequivalent atoms, fractional coordinates:
La1 0.067 0.000 0.322 (multiplicity 4)
Os1 0.152 0.500 0.068 (multiplicity 4)
Ru1 0.176 0.500 0.753 (multiplicity 4)

Volume: 248.8 Å³/cell
Total magnetic moment: 0.000 μB per formula unit

---

ii | Material: LaOsRu
Method: DFT, GGA-PBE
State: optimized geometry

a = 2.8846 Å, b = 2.8846 Å, c = 7.6657 Å
α = 90.00°, β = 90.00°, γ = 120.00°
Space group P3m1 (No. 156)
Inequivalent atoms, fractional coordinates:
La1 0.0000 0.0000 0.0000 (multiplicity 1)
Os1 0.6667 0.3333 0.3705 (multiplicity 1)
Ru1 0.3333 0.6667 0.6322 (multiplicity 1)

Volume: 55.2 Å³/cell
Total magnetic moment: 0.000 μB per formula unit

---

iii | Material: LaOsRu
Method: DFT, GGA-PBE
State: optimized geometry

a = 6.332 Å, b = 6.332 Å, c = 6.332 Å
α = 90.00°, β = 90.00°, γ = 90.00°
Space group F-43m (No. 216)
Inequivalent atoms, fractional coordinates:
La1 0.000 0.000 0.000 (multiplicity 4)
Os1 0.250 0.250 0.250 (multiplicity 4)
Ru1 0.250 0.250 0.750 (multiplicity 4)

Volume: 253.9 Å³/cell
Total magnetic moment: 0.000 μB per formula unit

---

Which structure is the most stable? The one labeled i.

---

i | Material: LaOs2Ru2
Method: DFT, GGA-PBE
State: optimized geometry

a = 7.781 Å, b = 7.781 Å, c = 2.812 Å
α = 90.00°, β = 90.00°, γ = 90.00°
Space group P4/mbm (No. 127)
Inequivalent atoms, fractional coordinates:
La1 0.000 0.000 0.000 (multiplicity 2)
Os1 0.119 0.381 0.000 (multiplicity 4)
Ru1 0.172 0.672 0.500 (multiplicity 4)

Volume: 170.2 Å³/cell
Total magnetic moment: 0.000 μB per formula unit

---

ii | Material: LaOs2Ru2
Method: DFT, GGA-PBE
State: optimized geometry

a = 4.258 Å, b = 4.258 Å, c = 10.502 Å
α = 90.00°, β = 90.00°, γ = 90.00°
Space group I4/mmm (No. 139)
Inequivalent atoms, fractional coordinates:
La1 0.000 0.000 0.000 (multiplicity 2)
Os1 0.000 0.000 0.387 (multiplicity 4)
Ru1 0.000 0.500 0.250 (multiplicity 4)

Volume: 190.4 Å³/cell
Total magnetic moment: 0.000 μB per formula unit

---

Which structure is the most stable? The one labeled ii.

---

i | Material: LaOsS3
Method: DFT, GGA-PBE
State: optimized geometry

a = 4.688 Å, b = 4.688 Å, c = 4.688 Å
α = 90.00°, β = 90.00°, γ = 90.00°
Space group Pm-3m (No. 221)
Inequivalent atoms, fractional coordinates:
La1 0.000 0.000 0.000 (multiplicity 1)
Os1 0.500 0.500 0.500 (multiplicity 1)
S1 0.000 0.500 0.500 (multiplicity 3)

Volume: 103.0 Å³/cell
Total magnetic moment: 1.511 μB per formula unit

---

ii | Material: LaOsS3
Method: DFT, GGA-PBE
State: optimized geometry

a = 5.459 Å, b = 5.459 Å, c = 5.459 Å
α = 90.00°, β = 90.00°, γ = 90.00°
Space group Pm-3m (No. 221)
Inequivalent atoms, fractional coordinates:
La1 0.000 0.000 0.000 (multiplicity 1)
Os1 0.500 0.500 0.500 (multiplicity 1)
S1 0.000 0.000 0.500 (multiplicity 3)

Volume: 162.7 Å³/cell
Total magnetic moment: 6.648 μB per formula unit

---

Which structure is the most stable? The one labeled i.

---

i | Material: La3SbOs
Method: DFT, GGA-PBE
State: optimized geometry

a = 12.807 Å, b = 4.431 Å, c = 11.151 Å
α = 90.00°, β = 104.43°, γ = 90.00°
Space group C2/m (No. 12)
Inequivalent atoms, fractional coordinates:
La1 0.095 0.000 0.390 (multiplicity 4)
La2 0.132 0.500 0.113 (multiplicity 4)
La3 0.144 0.500 0.677 (multiplicity 4)
Sb1 0.091 0.000 0.885 (multiplicity 4)
Os1 0.227 0.500 0.388 (multiplicity 4)

Volume: 612.8 Å³/cell
Total magnetic moment: 0.000 μB per formula unit

---

ii | Material: La3SbOs
Method: DFT, GGA-PBE
State: optimized geometry

a = 5.530 Å, b = 5.530 Å, c = 5.530 Å
α = 90.00°, β = 90.00°, γ = 90.00°
Space group Pm-3m (No. 221)
Inequivalent atoms, fractional coordinates:
La1 0.000 0.000 0.500 (multiplicity 3)
Sb1 0.500 0.500 0.500 (multiplicity 1)
Os1 0.000 0.000 0.000 (multiplicity 1)

Volume: 169.1 Å³/cell
Total magnetic moment: 0.000 μB per formula unit

---

Which structure is the most stable? The one labeled i.

---

i | Material: LaSc3Os
Method: DFT, GGA-PBE
State: optimized geometry

a = 4.968 Å, b = 4.968 Å, c = 4.968 Å
α = 90.00°, β = 90.00°, γ = 90.00°
Space group Pm-3m (No. 221)
Inequivalent atoms, fractional coordinates:
La1 0.000 0.000 0.000 (multiplicity 1)
Sc1 0.000 0.000 0.500 (multiplicity 3)
Os1 0.500 0.500 0.500 (multiplicity 1)

Volume: 122.6 Å³/cell
Total magnetic moment: 0.964 μB per formula unit

---

ii | Material: LaSc3Os
Method: DFT, GGA-PBE
State: optimized geometry

a = 5.128 Å, b = 5.128 Å, c = 5.128 Å
α = 90.00°, β = 90.00°, γ = 90.00°
Space group Pm-3m (No. 221)
Inequivalent atoms, fractional coordinates:
La1 0.000 0.000 0.000 (multiplicity 1)
Sc1 0.000 0.500 0.500 (multiplicity 3)
Os1 0.500 0.500 0.500 (multiplicity 1)

Volume: 134.9 Å³/cell
Total magnetic moment: 0.000 μB per formula unit

---

Which structure is the most stable? The one labeled ii.

---

i | Material: La2ScOs
Method: DFT, GGA-PBE
State: optimized geometry

a = 10.101 Å, b = 10.101 Å, c = 5.227 Å
α = 90.00°, β = 90.00°, γ = 90.00°
Space group I-42d (No. 122)
Inequivalent atoms, fractional coordinates:
La1 0.111 0.750 0.125 (multiplicity 8)
Sc1 0.000 0.000 0.500 (multiplicity 4)
Os1 0.000 0.000 0.000 (multiplicity 4)

Volume: 533.3 Å³/cell
Total magnetic moment: 0.000 μB per formula unit

---

ii | Material: La2ScOs
Method: DFT, GGA-PBE
State: optimized geometry

a = 12.605 Å, b = 3.575 Å, c = 5.327 Å
α = 90.00°, β = 114.97°, γ = 90.00°
Space group Cm (No. 8)
Inequivalent atoms, fractional coordinates:
La1 0.000 0.000 0.000 (multiplicity 2)
La2 0.197 0.000 0.697 (multiplicity 2)
Sc1 0.315 0.500 0.315 (multiplicity 2)
Os1 0.486 0.000 0.485 (multiplicity 2)

Volume: 217.6 Å³/cell
Total magnetic moment: 0.000 μB per formula unit

---

iii | Material: La2ScOs
Method: DFT, GGA-PBE
State: optimized geometry

a = 5.143 Å, b = 5.143 Å, c = 3.797 Å
α = 90.00°, β = 90.00°, γ = 90.00°
Space group P4/mmm (No. 123)
Inequivalent atoms, fractional coordinates:
La1 0.000 0.500 0.000 (multiplicity 2)
Sc1 0.000 0.000 0.500 (multiplicity 1)
Os1 0.500 0.500 0.500 (multiplicity 1)

Volume: 100.4 Å³/cell
Total magnetic moment: 0.000 μB per formula unit

---

Which structure is the most stable? The one labeled ii.

---

i | Material: La2ScOs
Method: DFT, GGA-PBE
State: optimized geometry

a = 3.513 Å, b = 3.513 Å, c = 9.046 Å
α = 90.00°, β = 90.00°, γ = 90.00°
Space group P4/mmm (No. 123)
Inequivalent atoms, fractional coordinates:
La1 0.000 0.000 0.196 (multiplicity 2)
Sc1 0.500 0.500 0.500 (multiplicity 1)
Os1 0.500 0.500 0.000 (multiplicity 1)

Volume: 111.6 Å³/cell
Total magnetic moment: 1.829 μB per formula unit

---

ii | Material: La2ScOs
Method: DFT, GGA-PBE
State: optimized geometry

a = 6.246 Å, b = 10.028 Å, c = 3.307 Å
α = 90.00°, β = 113.57°, γ = 90.00°
Space group C2/m (No. 12)
Inequivalent atoms, fractional coordinates:
La1 0.250 0.250 0.000 (multiplicity 4)
Sc1 0.000 0.000 0.500 (multiplicity 2)
Os1 0.000 0.500 0.500 (multiplicity 2)

Volume: 189.8 Å³/cell
Total magnetic moment: 0.000 μB per formula unit

---

iii | Material: La2ScOs
Method: DFT, GGA-PBE
State: optimized geometry

a = 3.391 Å, b = 3.391 Å, c = 9.509 Å
α = 90.00°, β = 90.00°, γ = 90.00°
Space group P4mm (No. 99)
Inequivalent atoms, fractional coordinates:
La1 0.000 0.000 0.000 (multiplicity 1)
La2 0.500 0.500 0.357 (multiplicity 1)
Sc1 0.500 0.500 0.703 (multiplicity 1)
Os1 0.000 0.000 0.553 (multiplicity 1)

Volume: 109.4 Å³/cell
Total magnetic moment: 0.000 μB per formula unit

---

Which structure is the most stable? The one labeled iii.

---

i | Material: La2ScOs
Method: DFT, GGA-PBE
State: optimized geometry

a = 3.801 Å, b = 5.221 Å, c = 10.615 Å
α = 90.00°, β = 90.00°, γ = 90.00°
Space group Immm (No. 71)
Inequivalent atoms, fractional coordinates:
La1 0.000 0.000 0.196 (multiplicity 4)
Sc1 0.000 0.500 0.000 (multiplicity 2)
Os1 0.000 0.500 0.500 (multiplicity 2)

Volume: 210.7 Å³/cell
Total magnetic moment: 0.000 μB per formula unit

---

ii | Material: La2ScOs
Method: DFT, GGA-PBE
State: optimized geometry

a = 7.373 Å, b = 7.373 Å, c = 7.373 Å
α = 90.00°, β = 90.00°, γ = 90.00°
Space group Fm-3m (No. 225)
Inequivalent atoms, fractional coordinates:
La1 0.250 0.250 0.250 (multiplicity 8)
Sc1 0.000 0.000 0.000 (multiplicity 4)
Os1 0.000 0.000 0.500 (multiplicity 4)

Volume: 400.8 Å³/cell
Total magnetic moment: 0.000 μB per formula unit

---

iii | Material: La2ScOs
Method: DFT, GGA-PBE
State: optimized geometry

a = 7.234 Å, b = 7.234 Å, c = 7.234 Å
α = 90.00°, β = 90.00°, γ = 90.00°
Space group F-43m (No. 216)
Inequivalent atoms, fractional coordinates:
La1 0.000 0.000 0.000 (multiplicity 4)
La2 0.250 0.250 0.250 (multiplicity 4)
Sc1 0.000 0.000 0.500 (multiplicity 4)
Os1 0.250 0.250 0.750 (multiplicity 4)

Volume: 378.5 Å³/cell
Total magnetic moment: 0.000 μB per formula unit

---

iv | Material: La2ScOs
Method: DFT, GGA-PBE
State: optimized geometry

a = 4.460 Å, b = 4.460 Å, c = 9.761 Å
α = 90.00°, β = 90.00°, γ = 90.00°
Space group I-4m2 (No. 119)
Inequivalent atoms, fractional coordinates:
La1 0.000 0.000 0.000 (multiplicity 2)
La2 0.000 0.500 0.250 (multiplicity 2)
Sc1 0.000 0.000 0.500 (multiplicity 2)
Os1 0.000 0.500 0.750 (multiplicity 2)

Volume: 194.2 Å³/cell
Total magnetic moment: 0.000 μB per formula unit

---

Which structure is the most stable? The one labeled i.